No. 1
Compound: La2Sn3Pd4
Source: Alexandria via LeMat-Bulk
Functional: PBE
Structure: relaxed

Properties
Space group: Cmce
E (hartree per atom): -0.20396
Mass density (Mg/m³): 8.845
Energy of formation (eV per formula unit): -7.32

Cell: 6.395 7.466 8.925 Å, 90.00 110.99 90.00°
Atoms (fractional coordinates):
La 0.106 0.581 0.211
La 0.894 0.419 0.789
La 0.394 0.081 0.789
La 0.606 0.919 0.211
Sn 0.000 0.000 0.000
Sn 0.500 0.500 0.000
Sn 0.512 0.750 0.524
Sn 0.988 0.250 0.476
Sn 0.488 0.250 0.476
Sn 0.012 0.750 0.524
Pd 0.680 0.750 0.860
Pd 0.820 0.250 0.140
Pd 0.320 0.250 0.140
Pd 0.180 0.750 0.860
Pd 0.169 0.985 0.337
Pd 0.831 0.015 0.663
Pd 0.331 0.485 0.663
Pd 0.669 0.515 0.337

No. 2
Compound: LaTbHoCu
Source: Alexandria via LeMat-Bulk
Functional: PBE
Structure: relaxed

Properties
Space group: P4mm
E (hartree per atom): -0.17097
Mass density (Mg/m³): 7.922
Energy of formation (eV per formula unit): -0.38

Cell: 3.539 3.539 8.806 Å, 90.00 90.00 90.00°
Atoms (fractional coordinates):
La 0.000 0.000 0.073
Tb 0.500 0.500 0.760
Ho 0.500 0.500 0.384
Cu 0.000 0.000 0.567

No. 3
Compound: YZnGa2Ge
Source: Alexandria via LeMat-Bulk
Functional: PBE
Structure: relaxed

Properties
Space group: P4/mmm
E (hartree per atom): -0.10329
Mass density (Mg/m³): 3.821
Energy of formation (eV per formula unit): 4.36

Cell: 5.444 5.372 5.444 Å, 90.00 90.00 90.00°
Atoms (fractional coordinates):
Y 0.000 0.000 0.000
Ge 0.500 0.500 0.500
Zn 0.000 0.500 0.000
Ga 0.000 0.000 0.500
Ga 0.500 0.000 0.000

No. 4
Compound: CsY2Os
Source: Alexandria via LeMat-Bulk
Functional: PBE
Structure: relaxed

Properties
Space group: I-42d
E (hartree per atom): -0.20768
Mass density (Mg/m³): 3.972
Energy of formation (eV per formula unit): 2.41

Cell: 8.388 8.388 8.403 Å, 60.06 60.06 90.00°
Atoms (fractional coordinates):
Cs 0.500 0.500 0.000
Cs 0.250 0.750 0.500
Y 0.874 0.125 0.250
Y 0.876 0.625 0.250
Y 0.375 0.126 0.750
Y 0.875 0.124 0.750
Os 0.000 0.000 0.000
Os 0.750 0.250 0.500

No. 5
Compound: Cr2SnHRu
Source: Alexandria via LeMat-Bulk
Functional: PBE
Structure: relaxed

Properties
Space group: P4/mmm
E (hartree per atom): -0.25874
Mass density (Mg/m³): 8.454

Cell: 4.033 4.033 3.922 Å, 90.00 90.00 90.00°
Last column: magnetic moment on the atom in μB.
Atoms (fractional coordinates):
Ru 0.000 0.000 0.500  0.30
Sn 0.500 0.500 0.500  -0.11
H 0.000 0.000 0.000  -0.02
Cr 0.000 0.500 0.000  2.66
Cr 0.500 0.000 0.000  2.66

No. 6
Compound: ScCuAgF2
Source: Alexandria via LeMat-Bulk
Functional: PBE
Structure: relaxed

Properties
Space group: P4/mmm
Raw formation energy (eV per atom): -1.716
E (hartree per atom): -0.18817
Mass density (Mg/m³): 4.664

Cell: 3.944 5.821 3.944 Å, 90.00 90.00 90.00°
Atoms (fractional coordinates):
Sc 0.000 0.000 0.000
Cu 0.000 0.500 0.000
Ag 0.500 0.500 0.500
F 0.000 0.000 0.500
F 0.500 0.000 0.000

No. 7
Compound: Rb2ReF
Source: Alexandria via LeMat-Bulk
Functional: PBE
Structure: relaxed

Properties
Space group: I-42d
Raw formation energy (eV per atom): 0.315
E (hartree per atom): -0.13776
Mass density (Mg/m³): 4.139

Cell: 8.142 8.142 7.340 Å, 56.31 56.31 90.00°
Last column: magnetic moment on the atom in μB.
Atoms (fractional coordinates):
Re 0.000 0.000 0.000  3.34
Re 0.750 0.250 0.500  3.34
Rb 0.532 0.125 0.250  0.00
Rb 0.218 0.625 0.250  0.00
Rb 0.375 0.468 0.750  0.00
Rb 0.875 0.782 0.750  0.00
F 0.500 0.500 0.000  0.00
F 0.250 0.750 0.500  0.00

No. 8
Compound: PrH2F6
Source: Alexandria via LeMat-Bulk
Functional: PBE
Structure: relaxed

Properties
Space group: C2/c
E (hartree per atom): -0.18263
Mass density (Mg/m³): 4.104

Cell: 5.905 6.212 6.212 Å, 85.56 72.80 72.80°
Last column: magnetic moment on the atom in μB.
Atoms (fractional coordinates):
Pr 0.250 0.198 0.802  -0.01
Pr 0.750 0.802 0.198  -0.01
H 0.453 0.637 0.682  0.00
H 0.047 0.318 0.363  0.00
H 0.547 0.363 0.318  0.00
H 0.953 0.682 0.637  0.00
F 0.456 0.825 0.596  0.03
F 0.044 0.404 0.175  0.03
F 0.544 0.175 0.404  0.03
F 0.956 0.596 0.825  0.03
F 0.967 0.746 0.470  0.01
F 0.533 0.530 0.254  0.01
F 0.033 0.254 0.530  0.01
F 0.467 0.470 0.746  0.01
F 0.179 0.829 0.009  0.45
F 0.321 0.991 0.171  0.45
F 0.821 0.171 0.991  0.45
F 0.679 0.009 0.829  0.45

Q: The highest mass density belongs to which entry?
A: La2Sn3Pd4

Q: Look up the E of the first one.
A: -0.20396 hartree per atom